# 1
## LiCd2Ni (PBEsol)

Data for a geometry-optimized LiCd2Ni structure.

Structure (POSCAR):
```
LiCd2Ni
1.0
-2.336 1.950 0.536
-2.032 -2.282 -0.552
0.098 -1.605 6.273
Cd Ni Li
2 1 1
Direct
0.000 0.000 0.263
0.000 0.000 0.737
0.500 0.500 0.500
0.500 0.500 0.000
```

Summary:
size of the total moment: 0.00 μB/cell
raw total energy: -2.7419 eV/atom
energy above the most stable polymorph in this dataset: 38 meV per atom
space group: No. 47
E_form: -0.11 eV per atom


# 2
## BaBeRh2 (PBEsol)

Data for a geometry-optimized BaBeRh2 structure.

Structure (POSCAR):
```
BaBeRh2
1.0
3.030 0.126 0.000
-0.154 3.029 0.000
0.000 0.000 7.236
Rh Ba Be
2 1 1
Direct
0.000 0.000 0.175
0.000 0.000 0.825
0.500 0.500 0.500
0.500 0.500 0.000
```

Summary:
size of the total moment: 0.00 μB/cell
raw total energy: -5.4605 eV/atom
space group: No. 65
E_form: 0.15 eV per atom


# 3
## ZnAg5 (PBEsol)

Data for a geometry-optimized ZnAg5 structure.

Structure (POSCAR):
```
ZnAg5
1.0
2.892 0.000 0.000
-1.446 5.238 -0.010
0.000 -1.845 6.375
Ag Zn
5 1
Direct
0.009 0.018 0.004
0.053 0.105 0.609
0.332 0.664 0.681
0.383 0.766 0.262
0.670 0.341 0.339
0.720 0.439 0.939
```

Summary:
size of the total moment: 0.00 μB/cell
raw total energy: -3.0428 eV/atom
energy above the most stable polymorph in this dataset: 4 meV per atom
space group: No. 8
E_form: -0.02 eV per atom


# 4
## TlHgSb (PBEsol)

Data for a geometry-optimized TlHgSb structure.

Structure (POSCAR):
```
TlHgSb
1.0
3.204 0.000 0.000
0.000 5.327 0.000
0.000 -2.663 4.613
Tl Sb Hg
1 1 1
Direct
0.333 0.667 0.333
0.834 0.333 0.667
0.833 0.000 0.000
```

Summary:
size of the total moment: 0.00 μB/cell
raw total energy: -2.5633 eV/atom
ΔE_f (raw): 6 kJ/mol of formula units
space group: No. 187


# 5
## YSi2As (PBEsol)

Data for a geometry-optimized YSi2As structure.

Structure (POSCAR):
```
YSi2As
1.0
3.883 0.000 0.000
0.000 3.836 -0.041
0.000 -1.861 5.631
Si As Y
2 1 1
Direct
0.000 0.204 0.033
0.500 0.320 0.265
0.500 0.531 0.687
0.000 0.945 0.515
```

Summary:
size of the total moment: 0.00 μB/cell
raw total energy: -6.2729 eV/atom
ΔE_f (raw): -161 kJ/mol of formula units
space group: No. 38


# 6
## CaSb2Te2 (PBEsol)

Data for a geometry-optimized CaSb2Te2 structure.

Structure (POSCAR):
```
CaSb2Te2
1.0
-2.560 0.312 -3.292
-2.527 -2.870 1.693
-1.936 7.634 4.886
Sb Te Ca
2 2 1
Direct
0.750 0.250 0.500
0.250 0.750 0.500
0.414 0.414 0.829
0.586 0.586 0.171
0.000 0.000 0.000
```

Summary:
size of the total moment: 0.00 μB/cell
raw total energy: -4.0512 eV/atom
ΔE_f (raw): -189 kJ/mol of formula units
space group: No. 139


# 7
## NiAs2PdSe (PBEsol)

Data for a geometry-optimized NiAs2PdSe structure.

Structure (POSCAR):
```
NiAs2PdSe
1.0
4.440 0.000 0.000
0.000 4.440 0.000
0.000 0.000 4.724
Pd Ni Se As
1 1 1 2
Direct
0.500 0.500 0.500
0.000 0.000 0.000
0.000 0.000 0.500
0.500 0.000 0.000
0.000 0.500 0.000
```

Summary:
size of the total moment: 0.00 μB/cell
raw total energy: -4.7837 eV/atom
ΔE_f (raw): 218 kJ/mol of formula units
space group: No. 123


# 8
## CaNd3Mn4O12 (PBEsol)

Data for a geometry-optimized CaNd3Mn4O12 structure.

Structure (POSCAR):
```
CaNd3Mn4O12
1.0
5.375 0.034 0.000
-0.030 5.446 0.000
0.000 0.000 7.630
O Nd Mn Ca
12 3 4 1
Direct
0.425 0.978 0.500
0.215 0.214 0.790
0.571 0.015 0.000
0.215 0.214 0.210
0.715 0.286 0.709
0.282 0.717 0.795
0.715 0.286 0.291
0.790 0.791 0.285
0.790 0.791 0.715
0.282 0.717 0.205
0.925 0.510 0.000
0.078 0.485 0.500
0.990 0.044 0.500
0.008 0.956 0.000
0.490 0.457 0.000
0.999 0.501 0.747
0.999 0.501 0.253
0.500 0.999 0.747
0.500 0.999 0.253
0.510 0.542 0.500
```

Summary:
size of the total moment: 14.94 μB/cell
raw total energy: -8.5443 eV/atom
ΔE_f (raw): -4942 kJ/mol of formula units
space group: No. 6


# 9
## MgTlTc (PBEsol)

Data for a geometry-optimized MgTlTc structure.

Structure (POSCAR):
```
MgTlTc
1.0
-0.838 -4.315 -1.083
0.288 -3.225 3.164
-3.754 -2.026 1.516
Mg Tl Tc
1 1 1
Direct
0.500 0.500 0.500
0.000 0.000 0.000
0.250 0.250 0.250
```

Summary:
size of the total moment: 1.52 μB/cell
raw total energy: -4.3682 eV/atom
space group: No. 216
E_form: 0.84 eV per atom


# 10
## MgTlRe (PBEsol)

Data for a geometry-optimized MgTlRe structure.

Structure (POSCAR):
```
MgTlRe
1.0
-1.958 2.309 1.447
-1.629 -2.420 1.657
4.909 0.432 2.063
Tl Mg Re
1 1 1
Direct
0.326 0.326 0.651
0.012 0.012 0.024
0.663 0.663 0.325
```

Summary:
size of the total moment: 0.00 μB/cell
raw total energy: -5.1371 eV/atom
energy above the most stable polymorph in this dataset: 64 meV per atom
space group: No. 107
E_form: 0.76 eV per atom


# 11
## La2GeBrN (PBEsol)

Data for a geometry-optimized La2GeBrN structure.

Structure (POSCAR):
```
La2GeBrN
1.0
4.258 0.000 0.000
0.000 5.156 0.000
0.000 0.000 5.156
La Br Ge N
2 1 1 1
Direct
0.000 0.000 0.500
0.000 0.500 0.000
0.500 0.000 0.000
0.500 0.500 0.500
0.000 0.000 0.000
```

Summary:
size of the total moment: 0.00 μB/cell
raw total energy: -5.7963 eV/atom
ΔE_f (raw): -285 kJ/mol of formula units
space group: No. 123


# 12
## BaAg3 (PBEsol)

Data for a geometry-optimized BaAg3 structure.

Structure (POSCAR):
```
BaAg3
1.0
4.731 0.000 0.000
0.000 7.114 -0.054
0.000 -3.513 6.187
Ag Ba
6 2
Direct
0.250 0.869 0.738
0.750 0.738 0.869
0.750 0.131 0.262
0.250 0.869 0.131
0.250 0.262 0.131
0.750 0.131 0.869
0.750 0.667 0.333
0.250 0.333 0.667
```

Summary:
size of the total moment: 0.00 μB/cell
raw total energy: -3.0977 eV/atom
energy above the most stable polymorph in this dataset: 83 meV per atom
space group: No. 194
E_form: -0.08 eV per atom


# 13
## Li2TaTl (PBEsol)

Data for a geometry-optimized Li2TaTl structure.

Structure (POSCAR):
```
Li2TaTl
1.0
-2.636 -0.853 0.791
-0.527 -2.253 -4.187
2.358 -4.251 1.991
Tl Li Ta
1 2 1
Direct
0.000 0.500 0.500
0.153 0.000 0.232
0.847 0.000 0.768
0.500 0.500 0.000
```

Summary:
size of the total moment: 0.00 μB/cell
raw total energy: -4.4552 eV/atom
space group: No. 10
E_form: 0.32 eV per atom


# 14
## YFe2Si (PBEsol)

Data for a geometry-optimized YFe2Si structure.

Structure (POSCAR):
```
YFe2Si
1.0
-0.519 -3.790 0.521
0.828 -2.471 -2.848
4.713 -2.486 0.911
Y Fe Si
1 2 1
Direct
0.253 0.253 0.242
0.054 0.054 0.839
0.739 0.739 0.782
0.454 0.454 0.638
```

Summary:
size of the total moment: 1.78 μB/cell
raw total energy: -8.0569 eV/atom
ΔE_f (raw): -167 kJ/mol of formula units
space group: No. 160


# 15
## HfSn2BiB (PBEsol)

Data for a geometry-optimized HfSn2BiB structure.

Structure (POSCAR):
```
HfSn2BiB
1.0
4.674 0.000 0.000
0.000 4.853 0.000
0.000 0.000 4.853
Sn B Bi Hf
2 1 1 1
Direct
0.000 0.500 0.000
0.000 0.000 0.500
0.000 0.000 0.000
0.500 0.500 0.500
0.500 0.000 0.000
```

Summary:
size of the total moment: 0.00 μB/cell
raw total energy: -5.7158 eV/atom
space group: No. 123
E_form: 0.35 eV per atom


# 16
## Nd2P3Au (PBEsol)

Data for a geometry-optimized Nd2P3Au structure.

Structure (POSCAR):
```
Nd2P3Au
1.0
-0.707 -3.113 2.601
7.511 -0.588 1.338
-1.329 10.332 12.007
Au P Nd
4 12 8
Direct
0.750 0.012 0.150
0.250 0.488 0.650
0.750 0.512 0.350
0.250 0.988 0.850
0.250 0.796 0.701
0.250 0.969 0.592
0.750 0.204 0.299
0.750 0.704 0.201
0.750 0.531 0.092
0.750 0.378 0.587
0.250 0.122 0.087
0.250 0.622 0.413
0.750 0.878 0.913
0.250 0.296 0.799
0.750 0.031 0.408
0.250 0.469 0.908
0.250 0.403 0.204
0.250 0.269 0.472
0.250 0.903 0.296
0.750 0.231 0.972
0.750 0.097 0.704
0.750 0.731 0.528
0.750 0.597 0.796
0.250 0.769 0.028
```

Summary:
size of the total moment: 0.00 μB/cell
raw total energy: -6.3361 eV/atom
space group: No. 62
E_form: -1.06 eV per atom


# 17
## ReHg2Mo (PBEsol)

Data for a geometry-optimized ReHg2Mo structure.

Structure (POSCAR):
```
ReHg2Mo
1.0
-2.466 1.276 0.017
-1.449 -2.842 3.108
1.793 3.413 3.956
Re Hg Mo
1 2 1
Direct
0.500 0.500 0.500
0.000 0.000 0.750
0.000 0.000 0.250
0.500 0.500 0.000
```

Summary:
size of the total moment: 0.00 μB/cell
raw total energy: -5.7338 eV/atom
space group: No. 47
E_form: 0.82 eV per atom


# 18
## GaNi2Pt (PBEsol)

Data for a geometry-optimized GaNi2Pt structure.

Structure (POSCAR):
```
GaNi2Pt
1.0
-2.133 1.364 2.646
-0.900 -3.399 1.026
2.842 -0.052 2.319
Ni Pt Ga
2 1 1
Direct
0.000 0.500 0.500
0.500 0.000 0.500
0.500 0.500 0.000
0.000 0.000 0.000
```

Summary:
size of the total moment: 0.60 μB/cell
raw total energy: -6.0537 eV/atom
space group: No. 123
E_form: -0.40 eV per atom


# 19
## MnRe4 (PBEsol)

Data for a geometry-optimized MnRe4 structure.

Structure (POSCAR):
```
MnRe4
1.0
4.071 0.000 0.000
0.000 4.071 0.000
-2.035 -2.035 5.353
Re Mn
4 1
Direct
0.615 0.615 0.231
0.750 0.250 0.500
0.385 0.385 0.769
0.250 0.750 0.500
0.000 0.000 0.000
```

Summary:
size of the total moment: 3.86 μB/cell
raw total energy: -11.8213 eV/atom
space group: No. 139
E_form: 0.80 eV per atom


# 20
## CaPCl2 (PBEsol)

Data for a geometry-optimized CaPCl2 structure.

Structure (POSCAR):
```
CaPCl2
1.0
-2.701 -2.240 0.783
0.220 -1.502 -3.535
5.659 -2.685 3.586
Ca Cl P
1 2 1
Direct
0.190 0.690 0.380
0.763 0.263 0.526
0.029 0.029 0.058
0.518 0.518 0.036
```

Summary:
size of the total moment: 0.00 μB/cell
raw total energy: -3.9398 eV/atom
ΔE_f (raw): -368 kJ/mol of formula units
energy above the most stable polymorph in this dataset: 0 meV per atom
space group: No. 44


# 21
## Sr2FeBiPbO6 (PBEsol)

Data for a geometry-optimized Sr2FeBiPbO6 structure.

Structure (POSCAR):
```
Sr2FeBiPbO6
1.0
-3.230 -1.642 0.470
1.673 -3.245 0.157
1.913 3.602 11.524
O Sr Fe Bi Pb
6 2 1 1 1
Direct
0.812 0.812 0.624
0.186 0.186 0.373
0.406 0.406 0.812
0.000 0.500 0.000
0.603 0.603 0.205
0.500 0.000 0.000
0.919 0.919 0.837
0.077 0.077 0.155
0.495 0.495 0.991
0.692 0.692 0.384
0.310 0.310 0.620
```

Summary:
size of the total moment: 3.42 μB/cell
raw total energy: -6.5619 eV/atom
ΔE_f (raw): -1906 kJ/mol of formula units
space group: No. 107


# 22
## Pr12Co6Pb (PBEsol)

Data for a geometry-optimized Pr12Co6Pb structure.

Structure (POSCAR):
```
Pr12Co6Pb
1.0
-0.463 -1.481 8.454
-7.538 -1.912 -3.661
6.175 -4.895 -3.432
Co Pr Pb
6 12 1
Direct
0.611 0.500 0.111
0.389 0.500 0.889
0.500 0.889 0.389
0.889 0.389 0.500
0.111 0.611 0.500
0.500 0.111 0.611
0.807 0.306 0.114
0.114 0.807 0.306
0.499 0.193 0.306
0.807 0.694 0.501
0.193 0.694 0.886
0.694 0.886 0.193
0.694 0.501 0.807
0.306 0.114 0.807
0.886 0.193 0.694
0.306 0.499 0.193
0.193 0.306 0.499
0.501 0.807 0.694
0.000 0.000 0.000
```

Summary:
size of the total moment: 0.00 μB/cell
raw total energy: -6.0495 eV/atom
space group: No. 204
E_form: -0.12 eV per atom


# 23
## YNbZn2O (PBEsol)

Data for a geometry-optimized YNbZn2O structure.

Structure (POSCAR):
```
YNbZn2O
1.0
-2.520 -0.058 -3.079
-0.188 -5.356 0.255
-4.148 0.307 3.390
O Zn Y Nb
1 2 1 1
Direct
0.500 0.000 0.000
0.000 0.500 0.000
0.000 0.000 0.500
0.000 0.000 0.000
0.500 0.500 0.500
```

Summary:
size of the total moment: 2.94 μB/cell
raw total energy: -4.8043 eV/atom
ΔE_f (raw): 196 kJ/mol of formula units
space group: No. 123


# 24
## ZnRu3 (PBEsol)

Data for a geometry-optimized ZnRu3 structure.

Structure (POSCAR):
```
ZnRu3
1.0
2.698 0.000 0.000
0.000 3.803 0.000
0.000 0.000 5.179
Ru Zn
3 1
Direct
0.000 0.000 0.245
0.000 0.000 0.755
0.500 0.500 0.500
0.500 0.500 0.000
```

Summary:
size of the total moment: 0.00 μB/cell
raw total energy: -7.8932 eV/atom
space group: No. 47
E_form: 0.13 eV per atom


# 25
## Hf3NbN (PBEsol)

Data for a geometry-optimized Hf3NbN structure.

Structure (POSCAR):
```
Hf3NbN
1.0
4.404 0.000 0.000
0.000 4.404 0.000
0.000 0.000 4.404
Nb Hf N
1 3 1
Direct
0.500 0.500 0.500
0.000 0.000 0.500
0.500 0.000 0.000
0.000 0.500 0.000
0.000 0.000 0.000
```

Summary:
size of the total moment: 0.00 μB/cell
raw total energy: -10.9719 eV/atom
ΔE_f (raw): -386 kJ/mol of formula units
space group: No. 221


# 26
## Hf2HCl (PBEsol)

Data for a geometry-optimized Hf2HCl structure.

Structure (POSCAR):
```
Hf2HCl
1.0
-2.871 -3.481 2.627
3.892 -3.465 -0.338
1.315 5.117 3.029
Hf H Cl
4 2 2
Direct
0.803 0.375 0.250
0.625 0.553 0.750
0.447 0.875 0.250
0.125 0.197 0.750
0.750 0.250 0.500
0.500 0.500 0.000
0.250 0.750 0.500
0.000 0.000 0.000
```

Summary:
size of the total moment: 0.00 μB/cell
raw total energy: -6.8106 eV/atom
space group: No. 122


Q: Which DOS(E_F) values were calculated for the entries above? A: 2.25, 4.98, 1.47, 1.21, 1.54, 2.41, 3.33, 2.92, 3.69, 2.03, 3.24, 2.82, 3.08, 3.73, 2.90, 2.55, 4.38, 3.77, 3.72, 1.10, 3.40, 12.21, 4.04, 3.95, 2.65, 6.06, in states/eV per cell.
Q: Which volume values were calculated for the entries above? A: 15.53, 16.64, 16.09, 26.24, 20.89, 30.73, 18.62, 11.17, 21.86, 17.96, 22.64, 25.92, 18.06, 15.89, 22.02, 20.87, 17.08, 12.30, 17.74, 23.24, 14.50, 25.73, 22.91, 13.29, 17.09, 16.50, in Å³ per atom.